(1)
First-principles (PBEsol) data for a relaxed structure of TlRe2Os, as listed in the Alexandria database.

Cell lengths 4.481, 4.481, 4.481 Å; angles 60.00, 60.00, 60.00 degrees
Atoms (fractional coordinates):
Tl 0.000 0.000 0.000
Re 0.250 0.250 0.250
Re 0.750 0.750 0.750
Os 0.500 0.500 0.500

Calculated values
Excess energy over the best structure of this formula in the dataset: 0.5302 eV per atom
E_form: 4.32 eV per formula unit
SG: Fm-3m (225)

(2)
First-principles (PBEsol) data for a relaxed structure of PmSmZn2, as listed in the Alexandria database.

Cell lengths 5.056, 5.056, 5.056 Å; angles 60.00, 60.00, 60.00 degrees
Atoms (fractional coordinates):
Pm 0.000 0.000 0.000
Sm 0.500 0.500 0.500
Zn 0.250 0.250 0.250
Zn 0.750 0.750 0.750

Calculated values
E_form: -1.25 eV per formula unit
SG: Fm-3m (225)

(3)
First-principles (PBEsol) data for a relaxed structure of BaAs2Cl, as listed in the Alexandria database.

Cell lengths 6.667, 6.667, 4.783 Å; angles 101.35, 101.35, 32.80 degrees
Atoms (fractional coordinates):
Ba 0.000 0.000 0.000
As 0.263 0.263 0.846
As 0.737 0.737 0.154
Cl 0.500 0.500 0.500

Calculated values
Excess energy over the best structure of this formula in the dataset: 0.0000 eV per atom
SG: C2/m (12)

Number 1: N(E_F) 5.49 states/eV/f.u., energy -9.2974 eV per atom. Number 2: N(E_F) 3.95 states/eV/f.u., energy -3.6614 eV per atom. Number 3: N(E_F) 1.23 states/eV/f.u., energy -4.6339 eV per atom.